The following is a DFT calculation (SCAN) of a PBEsol-optimized structure of OsBrCl.

```
3
Lattice="3.707 0.000 0.000 -1.853 3.210 0.000 0.000 0.000 5.274" Properties=species:S:1:pos:R:3 pbc="T T T"
Os 0.000 0.000 0.000
Br 1.853 1.070 4.050
Cl 0.000 2.140 1.153
```

Calculated values
Its energy relative to the elements, uncorrected is 0.61 eV per formula unit. The symmetry is P3m1. The calculation puts the offset from the most stable computed form at 0.0000 eV per atom.